# EuHg2Pb

An optimized crystal structure of EuHg2Pb (PBE-GGA, Alexandria).

CIF file:
```
data_EuHg2Pb
_chemical_formula_sum 'Eu4 Hg8 Pb4'
_space_group_name_H-M_alt 'F m -3 m'
_space_group_IT_number 225
_space_group_name_Hall '-F 4 2 3'
_cell_length_a 7.630
_cell_length_b 7.630
_cell_length_c 7.630
_cell_angle_alpha 90.00
_cell_angle_beta 90.00
_cell_angle_gamma 90.00
loop_
_atom_site_label
_atom_site_type_symbol
_atom_site_fract_x
_atom_site_fract_y
_atom_site_fract_z
Eu1 Eu 0.000 0.000 0.000
Hg1 Hg 0.250 0.250 0.250
Pb1 Pb 0.000 0.000 0.500
```

Formation energy: -0.39 eV per atom
Density of states at the Fermi level: 0.093 states/eV per atom
Magnetization: 28.0 Bohr magnetons per cell